# BaYNi2

An optimized crystal structure of BaYNi2 (PBE, Alexandria via LeMat-Bulk).

Cell and atoms, written as POSCAR:
```
BaYNi2
1.0
-2.7937 -1.1816 -1.6494
1.7011 -2.8929 -0.8116
-2.6253 -3.4931 6.9491
Ba Ni Y
1 2 1
Direct
0.5000 0.5000 0.8226
0.0000 0.0000 0.0895
0.5000 0.5000 0.1969
0.0000 0.0000 0.3909
```

Offset from the most stable computed form, meV per atom: 253
Density of states at the Fermi level, states/eV/f.u.: 4.2
Energy of formation from the pure elements, eV per atom: 0.15

---

# BaY2Ni

An optimized crystal structure of BaY2Ni (PBE, Alexandria via LeMat-Bulk).

Cell and atoms, written as POSCAR:
```
BaY2Ni
1.0
6.7256 0.0037 0.0063
-3.5396 5.7188 0.0063
0.8848 1.5891 3.1098
Ba Ni Y
1 1 2
Direct
0.5000 0.0000 0.5000
0.0000 0.5000 0.5000
0.0000 0.0000 0.0000
0.5000 0.5000 0.0000
```

Offset from the most stable computed form, meV per atom: 556
Density of states at the Fermi level, states/eV/f.u.: 5.9
Energy of formation from the pure elements, eV per atom: 0.48

---

no.,M_tot (μB/f.u.)
1,0.0
2,0.0